No. 1
! Hf2FeAu2 (PBE, optimized geometry); values from VASP
! * VASP energy: -7.123 eV/atom
! * V: 19.22 Å³/atom
! * formation energy from the elements: -0.1386 eV per atom
! * polymorph energy (0 for the lowest one): 0.000 eV/atom
! * D(E_F): 1.279 states/eV per atom
&SYSTEM
  ibrav = 0, nat = 10, ntyp = 3
/
ATOMIC_SPECIES
Hf 178.49 Hf.upf
Au 196.97 Au.upf
Fe 55.84 Fe.upf
CELL_PARAMETERS angstrom
-3.9191 4.1479 4.3608
1.6451 -4.2674 5.5375
3.0041 2.0863 0.7154
ATOMIC_POSITIONS angstrom
Hf 1.9349 -1.1111 4.8228
Hf 0.2340 0.2919 7.8739
Hf 0.4961 1.6749 2.7397
Hf -1.2048 3.0778 5.7909
Au -2.3434 0.8751 7.2888
Au 0.0694 -0.9947 2.6095
Au -0.0067 -2.1773 6.3781
Au -2.2674 2.0577 3.5202
Fe -1.1370 -0.0598 4.9492
Fe 0.0000 0.0000 0.0000

No. 2
! Hf2FeAu (PBE, optimized geometry); values from VASP
! * VASP energy: -7.439 eV/atom
! * V: 19.83 Å³/atom
! * formation energy from the elements: 0.4728 eV per atom
! * polymorph energy (0 for the lowest one): 0.845 eV/atom
! * D(E_F): 1.323 states/eV per atom
&SYSTEM
  ibrav = 0, nat = 8, ntyp = 3
/
ATOMIC_SPECIES
Fe 55.84 Fe.upf
Au 196.97 Au.upf
Hf 178.49 Hf.upf
CELL_PARAMETERS angstrom
-2.0961 -1.3064 -3.4352
-2.0482 -2.8683 2.3406
-8.4643 3.8252 1.1045
ATOMIC_POSITIONS angstrom
Fe -6.2924 -0.5652 1.4489
Fe -2.0722 -2.0873 -0.5473
Au -6.3163 0.2157 -1.4390
Au 0.0000 0.0000 0.0000
Hf -9.9465 -0.7448 -0.1613
Hf -3.6535 -0.2009 -1.5314
Hf -7.9303 1.2642 0.4499
Hf -3.6869 -1.0175 1.2627

No. 3
! Hf2FeAu2 (PBE, optimized geometry); values from VASP
! * VASP energy: -6.751 eV/atom
! * V: 20.36 Å³/atom
! * formation energy from the elements: 0.2342 eV per atom
! * polymorph energy (0 for the lowest one): 0.373 eV/atom
! * D(E_F): 1.177 states/eV per atom
&SYSTEM
  ibrav = 0, nat = 5, ntyp = 3
/
ATOMIC_SPECIES
Au 196.97 Au.upf
Fe 55.84 Fe.upf
Hf 178.49 Hf.upf
CELL_PARAMETERS angstrom
3.6807 0.0000 0.0000
0.0000 3.6807 0.0000
1.8404 1.8404 7.5141
ATOMIC_POSITIONS angstrom
Au 1.8404 3.6807 3.7570
Au 3.6807 1.8404 3.7570
Fe 0.0000 0.0000 0.0000
Hf 1.8404 1.8404 1.4342
Hf 3.6807 3.6807 6.0799

No. 4
! Hf3FeAu (PBE, optimized geometry); values from VASP
! * VASP energy: -8.611 eV/atom
! * V: 19.48 Å³/atom
! * formation energy from the elements: -0.2912 eV per atom
! * polymorph energy (0 for the lowest one): 0.000 eV/atom
! * D(E_F): 0.879 states/eV per atom
&SYSTEM
  ibrav = 0, nat = 10, ntyp = 3
/
ATOMIC_SPECIES
Hf 178.49 Hf.upf
Fe 55.84 Fe.upf
Au 196.97 Au.upf
CELL_PARAMETERS angstrom
-0.7923 -0.9672 5.2032
-1.0441 -5.1023 1.2299
6.4301 -4.3297 4.0985
ATOMIC_POSITIONS angstrom
Hf 4.6484 -3.5298 3.3790
Hf -0.6084 -4.6896 4.9192
Hf 3.4540 -7.4856 7.5716
Hf 1.1396 -2.9136 2.9600
Hf -0.0548 -6.8694 7.1526
Hf 5.2020 -5.7096 5.6124
Fe -0.8553 -2.0005 4.2104
Fe -0.9812 -4.0691 2.2227
Au 2.2397 -6.1376 4.3645
Au 2.3539 -4.2616 6.1671

No. 5
! Hf5FeAu (PBE, optimized geometry); values from VASP
! * VASP energy: -8.814 eV/atom
! * V: 20.12 Å³/atom
! * formation energy from the elements: -0.0272 eV per atom
! * D(E_F): 1.145 states/eV per atom
&SYSTEM
  ibrav = 0, nat = 14, ntyp = 3
/
ATOMIC_SPECIES
Hf 178.49 Hf.upf
Au 196.97 Au.upf
Fe 55.84 Fe.upf
CELL_PARAMETERS angstrom
5.2806 -0.4580 -0.0325
1.2409 5.1531 -0.0325
2.3576 1.6973 10.1175
ATOMIC_POSITIONS angstrom
Hf 5.5985 5.5879 6.2989
Hf 3.2288 0.9861 0.5591
Hf 5.7407 2.7945 4.4347
Hf 7.0220 0.8521 7.5556
Hf 5.8966 2.6878 1.2401
Hf 3.1383 3.5978 5.6179
Hf 2.9824 3.7045 8.8124
Hf 3.2806 0.8044 3.7537
Hf 1.8571 5.5402 2.4969
Hf 5.6502 5.4062 9.4934
Au 5.4066 3.0959 7.5556
Au 3.4724 3.2965 2.4969
Fe 0.0000 0.0000 0.0000
Fe 1.1788 0.8486 5.0587

No. 6
! Hf2FeAu (PBE, optimized geometry); values from VASP
! * VASP energy: -8.180 eV/atom
! * V: 17.93 Å³/atom
! * formation energy from the elements: -0.2679 eV per atom
! * polymorph energy (0 for the lowest one): 0.105 eV/atom
! * D(E_F): 0.736 states/eV per atom
&SYSTEM
  ibrav = 0, nat = 4, ntyp = 3
/
ATOMIC_SPECIES
Au 196.97 Au.upf
Hf 178.49 Hf.upf
Fe 55.84 Fe.upf
CELL_PARAMETERS angstrom
0.0000 3.2978 3.2978
3.2978 0.0000 3.2978
3.2978 3.2978 0.0000
ATOMIC_POSITIONS angstrom
Au 3.2978 3.2978 3.2978
Hf 1.6489 1.6489 1.6489
Hf 4.9467 4.9467 4.9467
Fe 0.0000 0.0000 0.0000

No. 7
! Hf3FeAu (PBE, optimized geometry); values from VASP
! * VASP energy: -8.168 eV/atom
! * V: 21.19 Å³/atom
! * formation energy from the elements: 0.1521 eV per atom
! * polymorph energy (0 for the lowest one): 0.443 eV/atom
! * D(E_F): 1.655 states/eV per atom
&SYSTEM
  ibrav = 0, nat = 5, ntyp = 3
/
ATOMIC_SPECIES
Au 196.97 Au.upf
Hf 178.49 Hf.upf
Fe 55.84 Fe.upf
CELL_PARAMETERS angstrom
-3.2962 -2.8597 -1.8305
1.9152 -3.6726 2.2886
-2.8037 0.8533 3.7155
ATOMIC_POSITIONS angstrom
Au -2.0923 -2.8395 2.0868
Hf -1.6481 -1.4298 -0.9153
Hf 0.9576 -1.8363 1.1443
Hf -1.4018 0.4266 1.8577
Fe 0.0000 0.0000 0.0000

No. 8
! Hf2FeAu2 (PBE, optimized geometry); values from VASP
! * VASP energy: -6.968 eV/atom
! * V: 19.70 Å³/atom
! * formation energy from the elements: 0.0166 eV per atom
! * polymorph energy (0 for the lowest one): 0.155 eV/atom
! * D(E_F): 0.649 states/eV per atom
&SYSTEM
  ibrav = 0, nat = 10, ntyp = 3
/
ATOMIC_SPECIES
Hf 178.49 Hf.upf
Fe 55.84 Fe.upf
Au 196.97 Au.upf
CELL_PARAMETERS angstrom
7.1474 0.0000 0.0000
0.0000 7.1474 0.0000
0.0000 0.0000 3.8570
ATOMIC_POSITIONS angstrom
Hf 5.9679 4.7532 0.0000
Hf 1.1795 2.3942 0.0000
Hf 2.3942 5.9679 0.0000
Hf 4.7532 1.1795 0.0000
Fe 0.0000 0.0000 0.0000
Fe 3.5737 3.5737 0.0000
Au 6.1471 2.5734 1.9285
Au 4.5740 6.1471 1.9285
Au 1.0003 4.5740 1.9285
Au 2.5734 1.0003 1.9285

No. 9
! Hf5Fe4Au (PBE, optimized geometry); values from VASP
! * VASP energy: -9.032 eV/atom
! * V: 16.31 Å³/atom
! * formation energy from the elements: -0.3425 eV per atom
! * D(E_F): 0.679 states/eV per atom
&SYSTEM
  ibrav = 0, nat = 10, ntyp = 3
/
ATOMIC_SPECIES
Fe 55.84 Fe.upf
Hf 178.49 Hf.upf
Au 196.97 Au.upf
CELL_PARAMETERS angstrom
3.1337 0.0000 0.0000
0.0000 3.1337 0.0000
0.0000 0.0000 16.6076
ATOMIC_POSITIONS angstrom
Fe 0.0000 0.0000 9.8730
Fe 0.0000 0.0000 13.0391
Fe 0.0000 0.0000 3.5685
Fe 0.0000 0.0000 6.7346
Hf 1.5669 1.5669 5.1594
Hf 1.5669 1.5669 14.5874
Hf 1.5669 1.5669 11.4482
Hf 1.5669 1.5669 2.0202
Hf 1.5669 1.5669 8.3038
Au 0.0000 0.0000 0.0000

No. 10
! Hf5Fe2Au2 (PBE, optimized geometry); values from VASP
! * VASP energy: -8.468 eV/atom
! * V: 18.81 Å³/atom
! * formation energy from the elements: -0.3292 eV per atom
! * D(E_F): 0.913 states/eV per atom
&SYSTEM
  ibrav = 0, nat = 18, ntyp = 3
/
ATOMIC_SPECIES
Au 196.97 Au.upf
Hf 178.49 Hf.upf
Fe 55.84 Fe.upf
CELL_PARAMETERS angstrom
6.2131 0.0000 2.2553
0.0000 6.7447 0.0000
0.5145 0.0000 8.2683
ATOMIC_POSITIONS angstrom
Au 1.9714 3.3724 4.2547
Au 4.7562 3.3724 6.2689
Au 1.6496 0.0000 5.1412
Au 5.0779 0.0000 5.3824
Hf 0.0000 0.0000 0.0000
Hf 1.3750 1.1780 2.4918
Hf 6.2743 2.1944 8.3663
Hf 4.4815 2.1944 3.6195
Hf 3.1678 1.1780 7.2387
Hf 2.2460 4.5503 6.9041
Hf 0.4533 4.5503 2.1572
Hf 5.3526 5.5667 8.0318
Hf 3.1065 3.3724 1.1277
Hf 3.5598 5.5667 3.2849
Fe 0.8181 2.4603 0.2970
Fe 5.3949 4.2844 1.9583
Fe 3.9247 0.9120 1.4246
Fe 2.2884 5.8327 0.8307

No. 11
! HfFe4Au (PBE, optimized geometry); values from VASP
! * VASP energy: -8.036 eV/atom
! * V: 13.86 Å³/atom
! * formation energy from the elements: -0.1887 eV per atom
! * D(E_F): 0.753 states/eV per atom
&SYSTEM
  ibrav = 0, nat = 6, ntyp = 3
/
ATOMIC_SPECIES
Fe 55.84 Fe.upf
Hf 178.49 Hf.upf
Au 196.97 Au.upf
CELL_PARAMETERS angstrom
-3.4541 0.3361 -3.4583
-4.3703 -2.1044 0.6899
-3.9640 2.7776 0.7587
ATOMIC_POSITIONS angstrom
Fe -7.3589 0.6301 -1.2546
Fe -5.1868 1.6760 -1.5975
Fe -5.3888 -0.7504 -1.6316
Fe -5.6422 0.4630 0.4643
Hf -2.9471 0.2523 -0.5024
Au 0.0000 0.0000 0.0000

No. 12
! HfFeAu2 (PBE, optimized geometry); values from VASP
! * VASP energy: -6.081 eV/atom
! * V: 18.23 Å³/atom
! * formation energy from the elements: 0.1614 eV per atom
! * D(E_F): 1.072 states/eV per atom
&SYSTEM
  ibrav = 0, nat = 8, ntyp = 3
/
ATOMIC_SPECIES
Hf 178.49 Hf.upf
Fe 55.84 Fe.upf
Au 196.97 Au.upf
CELL_PARAMETERS angstrom
-3.3437 0.7533 1.7653
-1.8818 -0.5891 -3.3130
-3.5738 -9.4240 1.4623
ATOMIC_POSITIONS angstrom
Hf 0.0000 0.0000 0.0000
Hf -4.7651 -4.2943 1.2269
Fe -4.0342 -4.9655 -1.3123
Fe -2.6127 0.0821 -0.7738
Au -4.6580 -7.0121 0.4845
Au -3.1863 -1.9661 1.0378
Au -2.5197 -2.6228 -1.4674
Au -7.2346 -6.9187 -0.2256